Entry 1:
Material: Ba6PPd2Cl2
Method: DFT, PBE-GGA
State: optimized geometry

a b c (Å): 8.0669 8.0669 8.1199
angles (deg): 99.99 99.99 118.84
Element x y z (fractional)
Ba 0.0781 0.4067 0.2323
Ba 0.2529 0.2529 0.7791
Ba 0.4067 0.0781 0.2323
Ba 0.5933 0.9219 0.7677
Ba 0.7471 0.7471 0.2209
Ba 0.9219 0.5933 0.7677
P 0.0000 0.0000 0.0000
Pd 0.3299 0.6701 0.0000
Pd 0.6701 0.3299 0.0000
Cl 0.1626 0.8374 0.5000
Cl 0.8374 0.1626 0.5000

Values from the calculation:
The total moment comes out at 0.000 Bohr magnetons per cell. The value obtained for the uncorrected energy is -0.28852 Ry per atom. Its crystal system is monoclinic. The formation energy without anion corrections comes out at -12.2 eV/f.u. The symmetry is No. 12.

Entry 2:
Material: Ba6P2PdCl3
Method: DFT, PBE-GGA
State: optimized geometry

a b c (Å): 10.4175 10.4175 9.5129
angles (deg): 103.73 103.73 25.72
Element x y z (fractional)
Ba 0.0051 0.0051 0.2415
Ba 0.3269 0.3269 0.4299
Ba 0.3405 0.3405 0.8963
Ba 0.6595 0.6595 0.1037
Ba 0.6731 0.6731 0.5701
Ba 0.9949 0.9949 0.7585
P 0.1647 0.1647 0.3358
P 0.8353 0.8353 0.6642
Pd 0.5000 0.5000 0.0000
Cl 0.1697 0.1697 0.8355
Cl 0.5000 0.5000 0.5000
Cl 0.8303 0.8303 0.1645

Values from the calculation:
The total moment comes out at 0.004 Bohr magnetons per cell. The value obtained for the uncorrected energy is -0.31279 Ry per atom. Its crystal system is monoclinic. The formation energy without anion corrections comes out at -18.0 eV/f.u. The symmetry is No. 12.

Entry 3:
Material: BaPPdCl2
Method: DFT, PBE-GGA
State: optimized geometry

a b c (Å): 5.9314 5.9314 6.5229
angles (deg): 90.00 90.00 90.00
Element x y z (fractional)
Ba 0.0000 0.0000 0.0000
P 0.0000 0.0000 0.5000
Pd 0.5000 0.5000 0.5000
Cl 0.0000 0.5000 0.0000
Cl 0.5000 0.0000 0.0000

Values from the calculation:
The total moment comes out at 3.077 Bohr magnetons per cell. The value obtained for the uncorrected energy is -0.23876 Ry per atom. Its crystal system is tetragonal. For the offset from the most stable computed form, the calculation gives 86.17 kJ/mol of atoms. The formation energy without anion corrections comes out at 0.0 eV/f.u. The symmetry is No. 123.

Entry 4:
Material: Ba4PPtCl2
Method: DFT, PBE-GGA
State: optimized geometry

a b c (Å): 8.0389 4.6028 8.1706
angles (deg): 90.00 107.38 90.00
Element x y z (fractional)
Ba 0.2419 0.0000 0.2155
Ba 0.2575 0.5000 0.7729
Ba 0.7425 0.5000 0.2271
Ba 0.7581 0.0000 0.7845
P 0.0000 0.5000 0.0000
Pt 0.5000 0.0000 0.0000
Cl 0.0000 0.0000 0.5000
Cl 0.5000 0.5000 0.5000

Values from the calculation:
The total moment comes out at 0.000 Bohr magnetons per cell. The value obtained for the uncorrected energy is -0.31982 Ry per atom. Its crystal system is monoclinic. The formation energy without anion corrections comes out at -12.0 eV/f.u. The symmetry is No. 10.

Entry 5:
Material: Ba6P2PtCl3
Method: DFT, PBE-GGA
State: optimized geometry

a b c (Å): 8.0212 8.0212 8.1867
angles (deg): 99.54 99.54 119.92
Element x y z (fractional)
Ba 0.0922 0.4257 0.7772
Ba 0.2407 0.2407 0.2282
Ba 0.4257 0.0922 0.7772
Ba 0.5743 0.9078 0.2228
Ba 0.7593 0.7593 0.7718
Ba 0.9078 0.5743 0.2228
P 0.1655 0.8345 0.0000
P 0.8345 0.1655 0.0000
Pt 0.5000 0.5000 0.0000
Cl 0.0000 0.0000 0.5000
Cl 0.3249 0.6751 0.5000
Cl 0.6751 0.3249 0.5000

Values from the calculation:
The total moment comes out at 0.940 Bohr magnetons per cell. The value obtained for the uncorrected energy is -0.32104 Ry per atom. Its crystal system is monoclinic. The formation energy without anion corrections comes out at -18.5 eV/f.u. The symmetry is No. 12.

Entry 6:
Material: Ba6PPt2Cl3
Method: DFT, PBE-GGA
State: optimized geometry

a b c (Å): 7.9778 7.9778 8.2848
angles (deg): 99.26 99.26 120.03
Element x y z (fractional)
Ba 0.0738 0.4068 0.2222
Ba 0.2590 0.2590 0.7775
Ba 0.4068 0.0738 0.2222
Ba 0.5932 0.9262 0.7778
Ba 0.7410 0.7410 0.2225
Ba 0.9262 0.5932 0.7778
P 0.0000 0.0000 0.0000
Pt 0.3331 0.6669 0.0000
Pt 0.6669 0.3331 0.0000
Cl 0.1625 0.8375 0.5000
Cl 0.5000 0.5000 0.5000
Cl 0.8375 0.1625 0.5000

Values from the calculation:
The total moment comes out at 0.002 Bohr magnetons per cell. The value obtained for the uncorrected energy is -0.31746 Ry per atom. Its crystal system is monoclinic. The formation energy without anion corrections comes out at -17.3 eV/f.u. The symmetry is No. 12.